# LaMgRu2

LaMgRu2 at its PBEsol-relaxed geometry (SCAN, the Alexandria database).

* DFT formation energy: 0.095 eV per atom
* DFT total energy: -29.338 eV per atom
* DOS at the Fermi energy: 2.75 states/eV/cell
* total moment: 0.748 μB per formula unit
* SG: No. 44

Lattice parameters (Å, degrees): 3.0919 4.7426 5.8220 114.04 105.40 90.00
Last column: magnetic moment on the atom in μB.
Fractional coordinates of all 4 atoms:
La 0.4866 0.4866 0.9733  -0.03
Mg 0.2732 0.7732 0.5464  -0.01
Ru 0.0178 0.0178 0.0356  0.20
Ru 0.7224 0.2224 0.4447  0.62

# La3MgRu

La3MgRu at its PBEsol-relaxed geometry (SCAN, the Alexandria database).

* DFT formation energy: -0.225 eV per atom
* DFT total energy: -34.048 eV per atom
* ΔE to the lowest computed polymorph: 0.0 meV/atom
* DOS at the Fermi energy: 4.36 states/eV/cell
* total moment: 0.042 μB per formula unit
* SG: No. 221

Lattice parameters (Å, degrees): 5.4536 5.4536 5.4536 90.00 90.00 90.00
Fractional coordinates of all 5 atoms:
Ru 0.0000 0.0000 0.0000
Mg 0.5000 0.5000 0.5000
La 0.0000 0.5000 0.0000
La 0.0000 0.0000 0.5000
La 0.5000 0.0000 0.0000

# LaMgRu2

LaMgRu2 at its PBEsol-relaxed geometry (SCAN, the Alexandria database).

* DFT formation energy: 0.089 eV per atom
* DFT total energy: -29.344 eV per atom
* DOS at the Fermi energy: 3.48 states/eV/cell
* total moment: 0.000 μB per formula unit
* SG: No. 123

Lattice parameters (Å, degrees): 3.3454 4.6095 4.6095 90.00 90.00 90.00
Fractional coordinates of all 4 atoms:
La 0.5000 0.5000 0.5000
Mg 0.5000 0.0000 0.0000
Ru 0.0000 0.0000 0.5000
Ru 0.0000 0.5000 0.0000

# SrLa2MgS

SrLa2MgS at its PBEsol-relaxed geometry (SCAN, the Alexandria database).

* DFT total energy: -25.250 eV per atom
* DOS at the Fermi energy: 4.74 states/eV/cell
* total moment: 0.000 μB per formula unit
* energy relative to the elements, uncorrected: -633.0 meV per atom
* SG: No. 123

Lattice parameters (Å, degrees): 5.1769 5.6028 5.6028 90.00 90.00 90.00
Fractional coordinates of all 5 atoms:
Sr 0.5000 0.5000 0.5000
S 0.0000 0.0000 0.0000
Mg 0.5000 0.0000 0.0000
La 0.0000 0.0000 0.5000
La 0.0000 0.5000 0.0000

# La2MgSb

La2MgSb at its PBEsol-relaxed geometry (SCAN, the Alexandria database).

* DFT total energy: -32.754 eV per atom
* DOS at the Fermi energy: 2.90 states/eV/cell
* total moment: 0.000 μB per formula unit
* energy relative to the elements, uncorrected: -642.5 meV per atom
* SG: No. 44

Lattice parameters (Å, degrees): 4.2056 5.0800 6.2829 113.85 109.55 90.00
Fractional coordinates of all 4 atoms:
La 0.9874 0.9874 0.9747
La 0.7552 0.2552 0.5103
Mg 0.5284 0.5284 0.0568
Sb 0.2291 0.7291 0.4582

# LaMg2Sb2

LaMg2Sb2 at its PBEsol-relaxed geometry (SCAN, the Alexandria database).

* DFT total energy: -26.200 eV per atom
* DOS at the Fermi energy: 2.04 states/eV/cell
* total moment: 0.026 μB per formula unit
* energy relative to the elements, uncorrected: -685.1 meV per atom
* SG: No. 139

Lattice parameters (Å, degrees): 4.2997 4.2997 7.7136 106.18 106.18 90.00
Fractional coordinates of all 5 atoms:
Sb 0.3862 0.3862 0.7725
Sb 0.6138 0.6138 0.2275
Mg 0.2500 0.7500 0.5000
Mg 0.7500 0.2500 0.5000
La 0.0000 0.0000 0.0000

# LaMgSb2

LaMgSb2 at its PBEsol-relaxed geometry (SCAN, the Alexandria database).

* DFT total energy: -30.882 eV per atom
* DOS at the Fermi energy: 2.30 states/eV/cell
* total moment: 0.000 μB per formula unit
* energy relative to the elements, uncorrected: -232.1 meV per atom
* SG: No. 99

Lattice parameters (Å, degrees): 3.3529 3.3529 9.7657 90.00 90.00 90.00
Fractional coordinates of all 4 atoms:
La 0.0000 0.0000 0.4989
Mg 0.5000 0.5000 0.7711
Sb 0.0000 0.0000 0.9692
Sb 0.5000 0.5000 0.2608

# LaMgSb2

LaMgSb2 at its PBEsol-relaxed geometry (SCAN, the Alexandria database).

* DFT total energy: -31.366 eV per atom
* DOS at the Fermi energy: 1.79 states/eV/cell
* total moment: 0.000 μB per formula unit
* energy relative to the elements, uncorrected: -716.0 meV per atom
* SG: No. 12

Lattice parameters (Å, degrees): 5.1213 4.8698 5.9970 116.41 90.00 121.72
Fractional coordinates of all 4 atoms:
La 0.0000 0.0000 0.5000
Mg 0.5000 0.0000 0.0000
Sb 0.7703 0.5405 0.8030
Sb 0.2297 0.4595 0.1970